# 1
The following is a DFT calculation (PBE) of a geometry-optimized Np2UPt2S6 structure.

Computed properties:
* DFT total energy: -83.25 eV for the cell shown
* calculated density: 9.2 g cm⁻³
* calculated volume: 21.15 Å³ per atom
* uncorrected formation energy: -0.840 eV per atom
* M_tot: 7.9 μB per cell

Structure (CIF):
```
data_Np2UPt2S6
_space_group_name_H-M_alt 'P -3 1 m'
_space_group_IT_number 162
_space_group_name_Hall '-P 3 2'
_cell_length_a 6.7193
_cell_length_b 6.7193
_cell_length_c 5.9497
_cell_angle_alpha 90.00
_cell_angle_beta 90.00
_cell_angle_gamma 120.00
loop_
_atom_site_label
_atom_site_type_symbol
_atom_site_fract_x
_atom_site_fract_y
_atom_site_fract_z
Np1 Np 0.3333 0.6667 0.0000
U1 U 0.0000 0.0000 0.0000
Pt1 Pt 0.3333 0.6667 0.5000
S1 S 0.0000 0.3307 0.2541
```

# 2
The following is a DFT calculation (PBE) of a geometry-optimized NpU2Pt2S6 structure.

Computed properties:
* DFT total energy: -81.85 eV for the cell shown
* calculated density: 9.1 g cm⁻³
* calculated volume: 21.52 Å³ per atom
* uncorrected formation energy: -0.862 eV per atom
* M_tot: 7.0 μB per cell

Structure (CIF):
```
data_NpU2Pt2S6
_space_group_name_H-M_alt 'P -3'
_space_group_IT_number 147
_space_group_name_Hall '-P 3'
_cell_length_a 6.7676
_cell_length_b 6.7676
_cell_length_c 5.9692
_cell_angle_alpha 90.00
_cell_angle_beta 90.00
_cell_angle_gamma 120.00
loop_
_atom_site_label
_atom_site_type_symbol
_atom_site_fract_x
_atom_site_fract_y
_atom_site_fract_z
Np1 Np 0.0000 0.0000 0.0000
U1 U 0.3333 0.6667 0.9887
Pt1 Pt 0.3333 0.6667 0.5119
S1 S 0.0114 0.3426 0.2511
```

# 3
The following is a DFT calculation (PBE) of a geometry-optimized NpSb2Pt9 structure.

Computed properties:
* DFT total energy: -79.14 eV for the cell shown
* calculated density: 17.8 g cm⁻³
* calculated volume: 17.39 Å³ per atom
* uncorrected formation energy: -0.299 eV per atom
* M_tot: 3.3 μB per cell

Structure (CIF):
```
data_NpSb2Pt9
_space_group_name_H-M_alt 'P 4/m m m'
_space_group_IT_number 123
_space_group_name_Hall '-P 4 2'
_cell_length_a 4.1307
_cell_length_b 4.1307
_cell_length_c 12.2325
_cell_angle_alpha 90.00
_cell_angle_beta 90.00
_cell_angle_gamma 90.00
loop_
_atom_site_label
_atom_site_type_symbol
_atom_site_fract_x
_atom_site_fract_y
_atom_site_fract_z
Np1 Np 0.0000 0.0000 0.0000
Sb1 Sb 0.0000 0.0000 0.3365
Pt1 Pt 0.0000 0.5000 0.1681
Pt2 Pt 0.0000 0.5000 0.5000
Pt3 Pt 0.5000 0.5000 0.0000
Pt4 Pt 0.5000 0.5000 0.3354
```